Record 1
VASP calculation (GGA-PBE) on LiTmIr after structural relaxation. Values from VASP.

Quantum ESPRESSO input file:
```
&SYSTEM
  ibrav = 0, nat = 3, ntyp = 3
/
ATOMIC_SPECIES
Ir 192.22 Ir.upf
Tm 168.93 Tm.upf
Li 6.94 Li.upf
CELL_PARAMETERS angstrom
3.240 0.000 0.000
0.000 4.356 0.000
0.000 -2.178 3.772
ATOMIC_POSITIONS angstrom
Ir 0.545 0.000 0.000
Tm 2.160 0.000 2.515
Li 0.535 2.178 1.257
```

- Fermi-level density of states: 0.6 states/eV per cell
- Uncorrected energy: -16.7 eV per cell
- Calculated formation energy: -45.2 kJ/mol of atoms
- Total magnetic moment: 0.00 μB/f.u.

Record 2
VASP calculation (GGA-PBE) on LiTmIr after structural relaxation. Values from VASP.

Quantum ESPRESSO input file:
```
&SYSTEM
  ibrav = 0, nat = 3, ntyp = 3
/
ATOMIC_SPECIES
Li 6.94 Li.upf
Tm 168.93 Tm.upf
Ir 192.22 Ir.upf
CELL_PARAMETERS angstrom
-2.798 2.982 3.623
-3.402 2.793 0.514
-2.774 -3.517 0.752
ATOMIC_POSITIONS angstrom
Li -1.701 1.396 0.257
Tm -1.387 -1.759 0.376
Ir -3.100 2.887 2.069
```

- Fermi-level density of states: 1.7 states/eV per cell
- Uncorrected energy: -16.0 eV per cell
- Calculated formation energy: -23.1 kJ/mol of atoms
- Total magnetic moment: 0.00 μB/f.u.

Record 3
VASP calculation (GGA-PBE) on LiTmIr2 after structural relaxation. Values from VASP.

Quantum ESPRESSO input file:
```
&SYSTEM
  ibrav = 0, nat = 4, ntyp = 3
/
ATOMIC_SPECIES
Ir 192.22 Ir.upf
Tm 168.93 Tm.upf
Li 6.94 Li.upf
CELL_PARAMETERS angstrom
4.034 0.000 0.000
0.000 4.015 0.000
0.000 0.000 4.015
ATOMIC_POSITIONS angstrom
Ir 0.000 0.000 2.008
Ir 0.000 2.008 0.000
Tm 2.017 0.000 0.000
Li 2.017 2.008 2.008
```

- Fermi-level density of states: 2.9 states/eV per cell
- Uncorrected energy: -25.8 eV per cell
- Calculated formation energy: -41.7 kJ/mol of atoms
- Total magnetic moment: 0.00 μB/f.u.

Record 4
VASP calculation (GGA-PBE) on LiTm6Ir5 after structural relaxation. Values from VASP.

Quantum ESPRESSO input file:
```
&SYSTEM
  ibrav = 0, nat = 12, ntyp = 3
/
ATOMIC_SPECIES
Tm 168.93 Tm.upf
Ir 192.22 Ir.upf
Li 6.94 Li.upf
CELL_PARAMETERS angstrom
-0.112 -4.086 2.516
8.035 2.136 -0.751
-5.435 5.199 3.622
ATOMIC_POSITIONS angstrom
Tm -1.654 1.341 2.105
Tm -0.426 2.945 4.764
Tm 0.582 -1.210 2.639
Tm 1.906 4.458 2.747
Tm 2.913 0.303 0.622
Tm 4.141 1.907 3.281
Ir -3.296 2.656 4.167
Ir -0.950 4.179 2.166
Ir 1.244 1.624 2.693
Ir 3.438 -0.931 3.221
Ir 5.784 0.592 1.219
Li 0.000 0.000 0.000
```

- Fermi-level density of states: 6.0 states/eV per cell
- Uncorrected energy: -83.1 eV per cell
- Calculated formation energy: -80.6 kJ/mol of atoms
- Total magnetic moment: 0.00 μB/f.u.

Record 5
VASP calculation (GGA-PBE) on LiTmIr after structural relaxation. Values from VASP.

Quantum ESPRESSO input file:
```
&SYSTEM
  ibrav = 0, nat = 6, ntyp = 3
/
ATOMIC_SPECIES
Ir 192.22 Ir.upf
Tm 168.93 Tm.upf
Li 6.94 Li.upf
CELL_PARAMETERS angstrom
-4.743 3.805 7.963
5.835 -6.476 -4.938
2.424 1.704 0.629
ATOMIC_POSITIONS angstrom
Ir 2.935 -0.613 1.288
Ir 0.581 -0.355 2.366
Tm 4.338 -1.976 -0.422
Tm -0.821 1.008 4.077
Li -3.424 3.538 7.250
Li 6.940 -4.505 -3.596
```

- Fermi-level density of states: 6.0 states/eV per cell
- Uncorrected energy: -29.9 eV per cell
- Calculated formation energy: 9.8 kJ/mol of atoms
- Total magnetic moment: 0.00 μB/f.u.

Record 6
VASP calculation (GGA-PBE) on LiTmIr after structural relaxation. Values from VASP.

Quantum ESPRESSO input file:
```
&SYSTEM
  ibrav = 0, nat = 3, ntyp = 3
/
ATOMIC_SPECIES
Ir 192.22 Ir.upf
Tm 168.93 Tm.upf
Li 6.94 Li.upf
CELL_PARAMETERS angstrom
-2.577 0.670 2.191
-1.589 -2.899 -0.982
4.252 -1.176 2.647
ATOMIC_POSITIONS angstrom
Ir 1.188 -1.255 1.781
Tm -0.187 -3.117 3.447
Li -1.481 -1.751 1.508
```

- Fermi-level density of states: 2.8 states/eV per cell
- Uncorrected energy: -16.4 eV per cell
- Calculated formation energy: -38.5 kJ/mol of atoms
- Total magnetic moment: 0.00 μB/f.u.

Record 7
VASP calculation (GGA-PBE) on LiTm3Ir2 after structural relaxation. Values from VASP.

Quantum ESPRESSO input file:
```
&SYSTEM
  ibrav = 0, nat = 12, ntyp = 3
/
ATOMIC_SPECIES
Li 6.94 Li.upf
Tm 168.93 Tm.upf
Ir 192.22 Ir.upf
CELL_PARAMETERS angstrom
-4.250 -1.460 1.713
4.023 -0.874 2.485
-1.267 10.379 5.702
ATOMIC_POSITIONS angstrom
Li 0.416 5.885 6.049
Li -1.910 2.160 3.852
Tm 0.738 3.253 4.603
Tm -1.591 -0.455 2.415
Tm -0.959 7.853 4.314
Tm -0.309 2.526 1.388
Tm 0.097 8.500 7.486
Tm -2.232 4.792 5.298
Ir -0.634 5.190 2.851
Ir 1.048 0.716 3.209
Ir -2.541 7.328 6.692
Ir 0.000 0.000 0.000
```

- Fermi-level density of states: 4.7 states/eV per cell
- Uncorrected energy: -75.1 eV per cell
- Calculated formation energy: -72.7 kJ/mol of atoms
- Total magnetic moment: 0.00 μB/f.u.

Record 8
VASP calculation (GGA-PBE) on LiTmZnIr after structural relaxation. Values from VASP.

Quantum ESPRESSO input file:
```
&SYSTEM
  ibrav = 0, nat = 4, ntyp = 4
/
ATOMIC_SPECIES
Zn 65.41 Zn.upf
Ir 192.22 Ir.upf
Tm 168.93 Tm.upf
Li 6.94 Li.upf
CELL_PARAMETERS angstrom
-2.304 -3.210 -2.341
-1.104 -3.971 2.027
-4.379 -0.905 1.046
ATOMIC_POSITIONS angstrom
Zn 0.000 0.000 0.000
Ir -5.840 -6.064 0.549
Tm -3.894 -4.043 0.366
Li -1.947 -2.021 0.183
```

- Fermi-level density of states: 1.5 states/eV per cell
- Uncorrected energy: -18.4 eV per cell
- Calculated formation energy: -45.6 kJ/mol of atoms
- Total magnetic moment: 0.00 μB/f.u.